Entry 1:
The following is a SCAN calculation of a crystal of Ba2ReAs relaxed with PBEsol, from Alexandria via LeMat-Bulk.

a b c (Å): 5.720 5.720 5.720
angles (deg): 128.60 128.60 75.65
Sites, in units of the cell vectors:
Ba (0.250, 0.750, 0.500)
Ba (0.750, 0.250, 0.500)
Re (0.000, 0.000, 0.000)
As (0.500, 0.500, 0.000)

Theoretical density: 8.000 g cm⁻³
ΔH_f (0 K): 0.631 eV per atom
Size of the total moment: 2.2 μB/cell
Total energy: -167.86 eV/f.u.
Symmetry: No. 139


Entry 2:
The following is a SCAN calculation of a crystal of ScTl relaxed with PBEsol, from Alexandria via LeMat-Bulk.

a b c (Å): 4.604 4.604 4.604
angles (deg): 60.00 60.00 60.00
Sites, in units of the cell vectors:
Sc (0.000, 0.000, 0.000)
Tl (0.750, 0.750, 0.750)

Theoretical density: 6.000 g cm⁻³
ΔH_f (0 K): 0.566 eV per atom
Size of the total moment: 1.1 μB/cell
Total energy: -85.46 eV/f.u.
Symmetry: No. 216


Entry 3:
The following is a SCAN calculation of a crystal of CaBe2WF relaxed with PBEsol, from Alexandria via LeMat-Bulk.

a b c (Å): 4.492 4.492 4.126
angles (deg): 90.00 90.00 90.00
Sites, in units of the cell vectors:
Ca (0.000, 0.000, 0.000)
Be (0.000, 0.500, 0.500)
Be (0.500, 0.000, 0.500)
W (0.500, 0.500, 0.500)
F (0.500, 0.500, 0.000)

Theoretical density: 5.204 g cm⁻³
Formation energy (no corrections): 0.121 eV/atom
Size of the total moment: 0.0 μB/cell
Total energy: -90.99 eV/f.u.
Symmetry: No. 123


Entry 4:
The following is a SCAN calculation of a crystal of ScTaTe2 relaxed with PBEsol, from Alexandria via LeMat-Bulk.

a b c (Å): 6.163 6.163 6.163
angles (deg): 142.11 142.11 54.66
Sites, in units of the cell vectors:
Sc (0.000, 0.000, 0.000)
Ta (0.750, 0.250, 0.500)
Te (0.250, 0.750, 0.500)
Te (0.500, 0.500, 0.000)

Theoretical density: 9.113 g cm⁻³
Formation energy (no corrections): 0.067 eV/atom
Size of the total moment: 0.0 μB/cell
Total energy: -155.05 eV/f.u.
Symmetry: No. 119


Entry 5:
The following is a SCAN calculation of a crystal of AgRh2Pb relaxed with PBEsol, from Alexandria via LeMat-Bulk.

a b c (Å): 9.308 9.308 9.308
angles (deg): 18.34 18.34 18.34
Sites, in units of the cell vectors:
Ag (0.000, 0.000, 0.000)
Rh (0.484, 0.484, 0.484)
Rh (0.747, 0.747, 0.747)
Pb (0.236, 0.236, 0.236)

Theoretical density: 12.405 g cm⁻³
ΔH_f (0 K): 0.398 eV per atom
Size of the total moment: 0.0 μB/cell
Total energy: -173.10 eV/f.u.
Symmetry: No. 160


Entry 6:
The following is a SCAN calculation of a crystal of AlAs2P relaxed with PBEsol, from Alexandria via LeMat-Bulk.

a b c (Å): 5.899 5.899 5.899
angles (deg): 144.67 143.25 51.90
Sites, in units of the cell vectors:
Al (0.000, 0.000, 0.000)
As (0.190, 0.690, 0.500)
As (0.810, 0.310, 0.500)
P (0.500, 0.500, 0.000)

Theoretical density: 4.884 g cm⁻³
ΔH_f (0 K): 0.197 eV per atom
Size of the total moment: 0.0 μB/cell
Total energy: -57.74 eV/f.u.
Symmetry: No. 71


Entry 7:
The following is a SCAN calculation of a crystal of LiCo2Ag relaxed with PBEsol, from Alexandria via LeMat-Bulk.

a b c (Å): 4.724 4.724 4.235
angles (deg): 99.38 99.38 31.77
Sites, in units of the cell vectors:
Li (0.000, 0.000, 0.000)
Co (0.248, 0.248, 0.757)
Co (0.752, 0.752, 0.243)
Ag (0.500, 0.500, 0.500)

Theoretical density: 7.878 g cm⁻³
ΔH_f (0 K): 0.202 eV per atom
Size of the total moment: 3.5 μB/cell
Total energy: -67.56 eV/f.u.
Symmetry: No. 12


Entry 8:
The following is a SCAN calculation of a crystal of ScSiCl relaxed with PBEsol, from Alexandria via LeMat-Bulk.

a b c (Å): 6.982 6.982 6.982
angles (deg): 155.01 155.01 35.63
Sites, in units of the cell vectors:
Sc (0.000, 0.000, 0.000)
Si (0.641, 0.641, 0.000)
Cl (0.383, 0.383, 0.000)

Theoretical density: 2.970 g cm⁻³
Formation energy (no corrections): -0.719 eV/atom
Size of the total moment: 0.0 μB/cell
Total energy: -34.39 eV/f.u.
Symmetry: No. 107